KCoW at its PBEsol-relaxed geometry, computed with SCAN.

Unit cell a=4.276 b=4.276 c=4.276 alpha=60.00 beta=60.00 gamma=60.00
Sites, in units of the cell vectors:
K  0.000  0.000  0.000
Co  0.500  0.500  0.500
W  0.250  0.250  0.250

Properties
Energy above the lowest structure with this stoichiometry, eV per formula unit: 1.84
Energy of formation from the pure elements, eV/atom: 2.471

***

KCoW2 at its PBEsol-relaxed geometry, computed with SCAN.

Unit cell a=5.801 b=5.801 c=2.600 alpha=99.07 beta=99.07 gamma=124.76
Sites, in units of the cell vectors:
K  0.000  0.000  0.000
Co  0.500  0.500  0.000
W  0.000  0.500  0.500
W  0.500  0.000  0.500

Properties
Energy above the lowest structure with this stoichiometry, eV per formula unit: 2.14
Energy of formation from the pure elements, eV/atom: 1.521

***

KCoW2 at its PBEsol-relaxed geometry, computed with SCAN.

Unit cell a=2.725 b=3.474 c=8.356 alpha=90.00 beta=90.75 gamma=90.00
Sites, in units of the cell vectors:
K  0.000  0.000  0.000
Co  0.482  0.500  0.687
W  0.499  0.500  0.364
W  0.970  0.000  0.560

Properties
Energy above the lowest structure with this stoichiometry, eV per formula unit: 0.00
Energy of formation from the pure elements, eV/atom: 0.985

***

Please write out number 2 again, unchanged.
KCoW2 at its PBEsol-relaxed geometry, computed with SCAN.

Unit cell a=5.801 b=5.801 c=2.600 alpha=99.07 beta=99.07 gamma=124.76
Sites, in units of the cell vectors:
K  0.000  0.000  0.000
Co  0.500  0.500  0.000
W  0.000  0.500  0.500
W  0.500  0.000  0.500

Properties
Energy above the lowest structure with this stoichiometry, eV per formula unit: 2.14
Energy of formation from the pure elements, eV/atom: 1.521

***

Q: Number 3 is which compound?
A: KCoW2